An optimized crystal structure of HgNCl2, computed with PBE-GGA.

Summary:
The calculation puts the magnetization at 0.000 μB per atom. The calculation puts the uncorrected formation energy at 778 meV per atom. The energy above the most stable polymorph in this dataset comes out at 0.0 meV per atom. The uncorrected energy is -2.302 eV per atom.

```
HgNCl2
1.0
6.469 0.000 0.000
0.000 6.469 0.000
3.235 3.235 4.586
N Hg Cl
2 2 4
Cartesian
3.235 3.235 0.000
3.235 6.469 2.293
0.000 0.000 0.000
6.469 3.235 2.293
3.235 1.617 1.147
3.235 4.852 1.147
4.852 6.469 3.440
8.087 6.469 3.440
```